DFT (GGA-PBE) results for a relaxed structure of RbBe2H.

The structure in POSCAR format:
```
RbBe2H
1.0
-3.488 7.315 -5.727
1.549 -1.979 -3.471
-5.550 -4.932 0.334
Rb Be H
4 8 4
direct
0.342 0.000 0.758
0.342 0.500 0.258
0.702 0.000 0.214
0.702 0.500 0.714
0.997 0.000 0.647
0.997 0.500 0.147
0.027 0.251 0.407
0.027 0.749 0.407
0.027 0.751 0.907
0.027 0.249 0.907
0.027 0.000 0.157
0.027 0.500 0.657
0.520 0.000 0.485
0.520 0.500 0.985
0.126 0.000 0.024
0.126 0.500 0.524
```

Fermi-level density of states	0.8	states/eV/f.u.
distance to the lowest polymorph of the same formula	0.00	kcal/mol of atoms